Here is an optimized crystal structure of K3YZr from Alexandria via LeMat-Bulk. Energies are from PBE.

The structure in CIF format:
```
data_K3YZr
_chemical_formula_sum 'K3 Y1 Zr1'
_cell_length_a 6.544
_cell_length_b 6.544
_cell_length_c 6.544
_cell_angle_alpha 90.00
_cell_angle_beta 90.00
_cell_angle_gamma 90.00
_symmetry_space_group_name_H-M 'P m -3 m'
_symmetry_Int_Tables_number 221
_symmetry_space_group_name_Hall '-P 4 2 3'
loop_
_atom_site_label
_atom_site_fract_x
_atom_site_fract_y
_atom_site_fract_z
K1 0.000 0.000 0.500
Y1 0.500 0.500 0.500
Zr1 0.000 0.000 0.000
```

Theoretical density   1.8 g cm⁻³
Total DFT energy (no corrections)   -10.96 eV/cell